First-principles (PBE+U) data for WS2O8 after structural relaxation, as listed in Alexandria.

Cell and atoms, written as POSCAR:
```
WS2O8
1.0
6.461 -3.731 0.000
6.461 3.731 0.000
-5.597 0.000 7.727
W S O
2 4 16
Cartesian
2.263 3.447 5.795 W
5.062 -3.447 1.932 W
2.748 2.024 3.492 S
7.375 2.024 0.371 S
-0.051 -2.024 7.355 S
4.577 -2.024 4.235 S
-0.862 0.601 3.995 O
3.748 2.512 2.474 O
1.076 2.031 6.697 O
6.375 2.512 1.389 O
1.937 -0.601 0.132 O
2.228 0.755 3.124 O
3.450 2.031 4.894 O
-0.571 -0.755 6.987 O
7.896 0.755 0.740 O
3.874 -2.031 2.833 O
5.097 -0.755 4.603 O
5.388 0.601 7.595 O
0.950 -2.512 6.338 O
6.249 -2.031 1.030 O
3.576 -2.512 5.253 O
8.187 -0.601 3.732 O
```

Values from the calculation:
Space-group type: No. 15
Calculated total energy: -6.39 eV/atom
Magnetization: 2.00 μB/f.u.